This record from Alexandria via LeMat-Bulk describes a relaxed structure of SrLa2Tb3Te6. The functional is PBE.

Cell lengths 4.4649, 9.0549, 10.0644 Å; angles 103.30, 102.82, 90.00 degrees
Closest atoms and distances in Å follow each position.
Fractional positions:
Tb 0.1672 0.8258 0.3345  6 Te 3.08-3.15
Tb 0.5000 0.5000 0.0000  6 Te 3.08-3.11
Tb 0.8328 0.1742 0.6655  6 Te 3.08-3.15
Sr 0.5000 0.0000 0.0000  6 Te 3.25
Te 0.0021 0.7403 0.0041  3 Tb 3.11-3.15, 2 Sr 3.25, 1 La 3.29
Te 0.6614 0.5895 0.3227  3 Tb 3.08, 3 La 3.21-3.22
Te 0.9979 0.2597 0.9959  3 Tb 3.11-3.15, 2 Sr 3.25, 1 La 3.29
Te 0.3299 0.9272 0.6597  3 Tb 3.11-3.15, 1 Sr 3.25, 2 La 3.29
Te 0.6701 0.0728 0.3403  3 Tb 3.11-3.15, 1 Sr 3.25, 2 La 3.29
Te 0.3386 0.4105 0.6773  3 Tb 3.08, 3 La 3.21-3.22
La 0.1705 0.3394 0.3410  6 Te 3.21-3.29
La 0.8295 0.6606 0.6590  6 Te 3.21-3.29

## Properties
* total moment: 0.000 μB per atom
* DOS at the Fermi energy: 0.520 states/eV per atom
* E: -0.1897 Ha/atom

This record from Alexandria via LeMat-Bulk describes a relaxed structure of Sr3La3TbTe8. The functional is PBE.

Cell lengths 9.1755, 9.1756, 9.3492 Å; angles 119.39, 90.00, 120.00 degrees
Closest atoms and distances in Å follow each position.
Fractional positions:
La 0.5000 0.0000 0.5000  6 Te 3.24-3.25
La 0.0000 0.5000 0.5000  6 Te 3.24-3.25
La 0.5000 0.5000 0.5000  6 Te 3.24-3.25
Te 0.7535 0.9945 0.7353  1 Tb 3.15, 2 La 3.24, 2 Sr 3.32
Te 0.7587 0.5174 0.2643  1 Tb 3.16, 2 La 3.24, 2 Sr 3.32
Te 0.2413 0.4826 0.7357  1 Tb 3.16, 2 La 3.24, 2 Sr 3.32
Te 0.2410 0.9945 0.7353  1 Tb 3.15, 2 La 3.24, 2 Sr 3.32
Te 0.2518 0.5036 0.2551  3 La 3.25, 3 Sr 3.30
Te 0.2465 0.0055 0.2647  1 Tb 3.15, 2 La 3.24, 2 Sr 3.32
Te 0.7590 0.0055 0.2647  1 Tb 3.15, 2 La 3.24, 2 Sr 3.32
Te 0.7482 0.4964 0.7449  3 La 3.25, 3 Sr 3.30
Sr 0.0000 0.5000 0.0000  6 Te 3.30-3.32
Sr 0.0000 0.0000 0.0000  6 Te 3.30-3.32
Sr 0.5000 0.5000 0.0000  6 Te 3.30-3.32
Tb 0.0000 0.0000 0.5000  6 Te 3.15-3.16

## Properties
* total moment: 0.000 μB per atom
* DOS at the Fermi energy: 0.390 states/eV per atom
* E: -0.1807 Ha/atom

This record from Alexandria via LeMat-Bulk describes a relaxed structure of SrLa4Tb3Te8. The functional is PBE.

Cell lengths 9.0136, 9.0503, 9.0136 Å; angles 119.87, 120.00, 90.00 degrees
Closest atoms and distances in Å follow each position.
Fractional positions:
Te 0.7450 0.7349 0.4899  3 Tb 3.13, 3 La 3.26
Te 0.7499 0.2604 0.0105  2 Tb 3.13, 3 La 3.19-3.26, 1 Sr 3.20
Te 0.2501 0.7396 0.5003  2 Tb 3.13, 3 La 3.19-3.26, 1 Sr 3.20
Te 0.7499 0.2604 0.4997  2 Tb 3.13, 3 La 3.19-3.26, 1 Sr 3.20
Te 0.2550 0.2651 0.5101  3 Tb 3.13, 3 La 3.26
Te 0.2607 0.2604 0.0105  2 Tb 3.13, 3 La 3.19-3.26, 1 Sr 3.20
Te 0.2501 0.7396 0.9895  2 Tb 3.13, 3 La 3.19-3.26, 1 Sr 3.20
Te 0.7393 0.7396 0.9895  2 Tb 3.13, 3 La 3.19-3.26, 1 Sr 3.20
Tb 0.5000 0.5000 0.5000  6 Te 3.13
Tb 0.0000 0.5000 0.5000  6 Te 3.13
Tb 0.5000 0.5000 0.0000  6 Te 3.13
La 0.5000 0.0000 0.0000  6 Te 3.19
La 0.5000 0.0000 0.5000  6 Te 3.26
La 0.0000 0.0000 0.5000  6 Te 3.26
La 0.0000 0.0000 0.0000  6 Te 3.26
Sr 0.0000 0.5000 0.0000  6 Te 3.20

## Properties
* total moment: 0.000 μB per atom
* DOS at the Fermi energy: 0.634 states/eV per atom
* E: -0.1934 Ha/atom

> E of number 3 (SrLa4Tb3Te8)?

-0.1934 Ha/atom